Record 1
LiDy2S: relaxed, PBE-GGA.

Calculated values
DOS at the Fermi energy: 2.91 states/eV/f.u.
ΔE to the lowest computed polymorph: 0.50 eV per formula unit
E_form (uncorrected): -68.9 kJ/mol of atoms

abc: 3.6654 3.6654 9.9871
angles: 79.43 79.43 60.00
Fractional coordinates of all 4 atoms:
Dy 0.8893 0.8893 0.3320
Dy 0.1107 0.1107 0.6680
S 0.5000 0.5000 0.5000
Li 0.0000 0.0000 0.0000

Record 2
NaLiP2Pt4: relaxed, PBE-GGA.

Calculated values
energy of formation: -0.501 eV per atom
DOS at the Fermi energy: 2.84 states/eV/f.u.

abc: 4.1094 4.1094 7.5168
angles: 90.00 90.00 90.00
Fractional coordinates of all 8 atoms:
Pt 0.0000 0.5000 0.8037
Pt 0.5000 0.0000 0.8037
Pt 0.5000 0.0000 0.1963
Pt 0.0000 0.5000 0.1963
P 0.5000 0.5000 0.6537
P 0.5000 0.5000 0.3463
Na 0.0000 0.0000 0.5000
Li 0.0000 0.0000 0.0000

Record 3
Cd6GaAg2: relaxed, PBE-GGA.

Calculated values
energy of formation: 0.029 eV per atom
DOS at the Fermi energy: 2.48 states/eV/f.u.
ΔE to the lowest computed polymorph: 0.11 eV per formula unit

abc: 7.7563 7.8838 7.7563
angles: 65.39 91.02 65.39
Fractional coordinates of all 18 atoms:
Ag 0.2018 0.4275 0.4460
Ag 0.7982 0.5725 0.5540
Ag 0.5540 0.0725 0.7982
Ag 0.4460 0.9275 0.2018
Cd 0.5658 0.4814 0.3226
Cd 0.6423 0.6415 0.9050
Cd 0.2186 0.8137 0.9959
Cd 0.0950 0.8585 0.3577
Cd 0.9959 0.3137 0.2186
Cd 0.3577 0.3585 0.0950
Cd 0.9050 0.1415 0.6423
Cd 0.7814 0.1863 0.0041
Cd 0.4342 0.5186 0.6774
Cd 0.3226 0.9814 0.5658
Cd 0.6774 0.0186 0.4342
Cd 0.0041 0.6863 0.7814
Ga 0.8359 0.7500 0.1641
Ga 0.1641 0.2500 0.8359

Record 4
PrSmInAu: relaxed, PBE-GGA.

Calculated values
energy of formation: -0.561 eV per atom
DOS at the Fermi energy: 4.50 states/eV/f.u.
ΔE to the lowest computed polymorph: 0.27 eV per formula unit

abc: 5.3818 5.3818 5.3818
angles: 60.00 60.00 60.00
Last column: magnetic moment on the atom in μB.
Fractional coordinates of all 4 atoms:
Sm 0.7500 0.7500 0.7500  0.13
In 0.0000 0.0000 0.0000  0.00
Au 0.5000 0.5000 0.5000  0.03
Pr 0.2500 0.2500 0.2500  0.12

Record 5
Ho4ErPb2: relaxed, PBE-GGA.

Calculated values
energy of formation: 0.468 eV per atom
DOS at the Fermi energy: 8.28 states/eV/f.u.

abc: 5.3487 5.3487 9.0880
angles: 107.11 107.11 90.00
Fractional coordinates of all 7 atoms:
Pb 0.3694 0.3694 0.7387
Pb 0.6306 0.6306 0.2613
Ho 0.5000 0.0000 0.0000
Ho 0.1830 0.1830 0.3659
Ho 0.8170 0.8170 0.6341
Ho 0.0000 0.5000 0.0000
Er 0.0000 0.0000 0.0000

Record 6
GeRu2CCl: relaxed, PBE-GGA.

Calculated values
DOS at the Fermi energy: 4.48 states/eV/f.u.
E_form (uncorrected): 184.6 kJ/mol of atoms

abc: 4.5789 3.4744 4.5789
angles: 90.00 90.00 90.00
Last column: magnetic moment on the atom in μB.
Fractional coordinates of all 5 atoms:
C 0.0000 0.5000 0.0000  0.05
Ru 0.0000 0.0000 0.5000  0.52
Ru 0.5000 0.0000 0.0000  0.63
Cl 0.0000 0.0000 0.0000  0.00
Ge 0.5000 0.5000 0.5000  -0.01

Record 7
Nd7ErTm12: relaxed, PBE-GGA.

Calculated values
energy of formation: 0.666 eV per atom
DOS at the Fermi energy: 28.20 states/eV/f.u.
ΔE to the lowest computed polymorph: 8.71 eV per formula unit

abc: 9.7064 9.7064 9.7064
angles: 109.47 109.47 109.47
Fractional coordinates of all 20 atoms:
Tm 0.9996 0.2446 0.7549
Tm 0.2446 0.7549 0.9996
Tm 0.7554 0.2451 0.0004
Tm 0.7549 0.9996 0.2446
Tm 0.7549 0.5103 0.7554
Tm 0.0004 0.7554 0.2451
Tm 0.2446 0.2451 0.4897
Tm 0.7554 0.7549 0.5103
Tm 0.2451 0.4897 0.2446
Tm 0.5103 0.7554 0.7549
Tm 0.2451 0.0004 0.7554
Tm 0.4897 0.2446 0.2451
Nd 0.5000 0.0000 0.5000
Nd 0.0000 0.0000 0.5000
Nd 0.0000 0.5000 0.5000
Nd 0.5000 0.5000 0.5000
Nd 0.0000 0.5000 0.0000
Nd 0.5000 0.5000 0.0000
Nd 0.5000 0.0000 0.0000
Er 0.0000 0.0000 0.0000

Record 8
Cs2Cd2Se3: relaxed, PBE-GGA.

Calculated values
ΔE to the lowest computed polymorph: 0.00 eV per formula unit
E_form (uncorrected): -87.3 kJ/mol of atoms

abc: 7.6428 12.1321 12.1321
angles: 82.47 71.06 71.06
Fractional coordinates of all 28 atoms:
Se 0.7452 0.6005 0.7441
Se 0.1617 0.7480 0.0120
Se 0.3383 0.9880 0.2520
Se 0.2569 0.4490 0.8563
Se 0.7548 0.2559 0.3995
Se 0.2452 0.7441 0.6005
Se 0.7569 0.8563 0.4490
Se 0.2431 0.1437 0.5510
Se 0.6617 0.0120 0.7480
Se 0.7431 0.5510 0.1437
Se 0.8383 0.2520 0.9880
Se 0.2548 0.3995 0.2559
Cd 0.8697 0.4672 0.9209
Cd 0.1493 0.1981 0.3498
Cd 0.6493 0.3498 0.1981
Cd 0.6303 0.0791 0.5328
Cd 0.3507 0.6502 0.8019
Cd 0.3697 0.9209 0.4672
Cd 0.8507 0.8019 0.6502
Cd 0.1303 0.5328 0.0791
Cs 0.6408 0.8085 0.9872
Cs 0.7500 0.2904 0.7096
Cs 0.8592 0.0128 0.1915
Cs 0.2500 0.4327 0.5673
Cs 0.3592 0.1915 0.0128
Cs 0.2500 0.7096 0.2904
Cs 0.7500 0.5673 0.4327
Cs 0.1408 0.9872 0.8085